# 1
Ta3CrSb | PBE-GGA | relaxed

E = -0.6641 Ry per atom
formation energy from raw total energies = 80 kJ/mol of atoms
E above lowest polymorph = 0.000 eV per atom

Geometry as POSCAR:
```
Ta3CrSb
1.0
-2.457 2.475 3.084
-3.952 -1.405 -2.021
-0.143 -3.684 2.843
Ta Sb Cr
3 1 1
Direct
0.000 0.000 0.500 Ta
0.500 0.000 0.000 Ta
0.000 0.500 0.000 Ta
0.500 0.500 0.500 Sb
0.000 0.000 0.000 Cr
```



# 2
Ac2PmSmDy | PBE-GGA | relaxed

E = -0.3071 Ry per atom

Geometry as POSCAR:
```
Ac2PmSmDy
1.0
6.784 0.000 0.000
0.000 8.910 1.643
0.000 -1.161 6.291
Ac Sm Pm Dy
4 2 2 2
Direct
0.703 0.300 0.750 Ac
0.297 0.300 0.250 Ac
0.297 0.700 0.250 Ac
0.703 0.700 0.750 Ac
0.000 0.000 0.000 Sm
0.000 0.000 0.500 Sm
0.579 0.000 0.250 Pm
0.421 0.000 0.750 Pm
0.831 0.500 0.250 Dy
0.169 0.500 0.750 Dy
```



# 3
MgNi | PBE-GGA | relaxed

E = -0.2724 Ry per atom

Geometry as POSCAR:
```
MgNi
1.0
-1.274 -4.111 2.206
-0.663 -4.403 -1.887
2.581 -4.034 0.673
Mg Ni
2 2
Direct
0.892 0.892 0.892 Mg
0.108 0.108 0.108 Mg
0.330 0.330 0.330 Ni
0.670 0.670 0.670 Ni
```



# 4
Ga2GeMo | PBE-GGA | relaxed

E = -0.3633 Ry per atom

Geometry as POSCAR:
```
Ga2GeMo
1.0
-4.410 1.045 -5.789
-3.445 -6.324 1.484
-5.618 -1.363 -0.635
Ge Ga Mo
2 4 2
Direct
0.500 0.500 0.000 Ge
0.250 0.750 0.500 Ge
0.627 0.125 0.250 Ga
0.375 0.373 0.750 Ga
0.123 0.625 0.250 Ga
0.875 0.877 0.750 Ga
0.000 0.000 0.000 Mo
0.750 0.250 0.500 Mo
```



# 5
PmSc2Sb4 | PBE-GGA | relaxed

E = -0.4110 Ry per atom
formation energy from raw total energies = -72 kJ/mol of atoms

Geometry as POSCAR:
```
PmSc2Sb4
1.0
-1.457 0.722 -3.922
5.544 -2.130 -0.154
-5.769 -14.973 -0.614
Sc Sb Pm
4 8 2
Direct
0.153 0.306 0.425 Sc
0.847 0.694 0.575 Sc
0.847 0.694 0.925 Sc
0.153 0.306 0.075 Sc
0.500 0.000 0.000 Sb
0.840 0.679 0.113 Sb
0.160 0.321 0.887 Sb
0.852 0.705 0.750 Sb
0.148 0.295 0.250 Sb
0.500 0.000 0.500 Sb
0.160 0.321 0.613 Sb
0.840 0.679 0.387 Sb
0.564 0.128 0.750 Pm
0.436 0.872 0.250 Pm
```



# 6
Y2TmZrN4 | PBE-GGA | relaxed

E = -0.6733 Ry per atom
formation energy from raw total energies = -169 kJ/mol of atoms

Geometry as POSCAR:
```
Y2TmZrN4
1.0
3.388 0.000 0.000
0.000 5.872 0.110
0.000 -2.046 5.518
Tm Y N Zr
1 2 4 1
Direct
0.500 0.500 0.000 Tm
0.000 0.500 0.500 Y
0.500 0.000 0.500 Y
0.000 0.754 0.238 N
0.000 0.246 0.762 N
0.500 0.761 0.765 N
0.500 0.239 0.235 N
0.000 0.000 0.000 Zr
```



- Among the records above, which one has the lowest E?
  Y2TmZrN4



- What is the E in the fifth record?
  -0.4110 Ry per atom



- What is the formula in the fifth record?
  PmSc2Sb4



What did the second record say?
Ac2PmSmDy | PBE-GGA | relaxed

E = -0.3071 Ry per atom

Geometry as POSCAR:
```
Ac2PmSmDy
1.0
6.784 0.000 0.000
0.000 8.910 1.643
0.000 -1.161 6.291
Ac Sm Pm Dy
4 2 2 2
Direct
0.703 0.300 0.750 Ac
0.297 0.300 0.250 Ac
0.297 0.700 0.250 Ac
0.703 0.700 0.750 Ac
0.000 0.000 0.000 Sm
0.000 0.000 0.500 Sm
0.579 0.000 0.250 Pm
0.421 0.000 0.750 Pm
0.831 0.500 0.250 Dy
0.169 0.500 0.750 Dy
```